Entry from Alexandria via LeMat-Bulk: a geometry-optimized LiCu2Os structure (PBE).

Cell and atoms, written as POSCAR:
```
LiCu2Os
1.0
2.5475 0.0000 0.0000
0.0000 2.5475 0.0000
0.0000 0.0000 8.0981
Li Cu Os
1 2 1
Cartesian
0.0000 0.0000 0.0000
0.0000 0.0000 4.1549
1.2738 1.2738 6.0177
1.2738 1.2738 2.1183
```

Output
N(E_F): 0.776 states/eV per atom
Energy relative to the lowest polymorph listed for this composition: 0.1556 eV/atom
ΔH_f (0 K): 0.236 eV/atom
Space group: P4mm



Entry from Alexandria via LeMat-Bulk: a geometry-optimized Li2CuOs structure (PBE).

Cell and atoms, written as POSCAR:
```
Li2CuOs
1.0
2.4929 0.0000 0.0000
0.0000 4.4646 0.0000
-0.2162 0.0000 4.7070
Li Cu Os
2 1 1
Cartesian
0.4008 0.0000 1.1146
1.8759 0.0000 3.5924
-0.1081 2.2323 2.3535
1.2464 2.2323 0.0000
```

Output
N(E_F): 0.496 states/eV per atom
Energy relative to the lowest polymorph listed for this composition: 0.0373 eV/atom
ΔH_f (0 K): 0.124 eV/atom
Space group: P2/m



Entry from Alexandria via LeMat-Bulk: a geometry-optimized LiCu2Os structure (PBE).

Cell and atoms, written as POSCAR:
```
LiCu2Os
1.0
1.3174 0.7606 8.7614
-1.3174 0.7606 8.7614
0.0000 -1.5212 8.7614
Li Cu Os
1 2 1
Cartesian
0.0000 0.0000 0.0000
0.0000 0.0000 13.0501
0.0000 0.0000 19.7428
0.0000 0.0000 6.4864
```

Output
N(E_F): 0.710 states/eV per atom
Energy relative to the lowest polymorph listed for this composition: 0.0731 eV/atom
ΔH_f (0 K): 0.153 eV/atom
Space group: R3m